Entry 1:
Below is a relaxed NaLuHgSe3 crystal, with properties calculated at the PBE level.

Lattice parameters (Å, degrees): 11.6919 4.0608 13.7173 90.00 90.00 90.00
Element x y z (fractional)
Lu (0.4779, 0.5000, 0.2248)
Se (0.4381, 0.5000, 0.8956)
Lu (0.5221, 0.0000, 0.7752)
Se (0.7622, 0.5000, 0.3530)
Lu (0.0221, 0.0000, 0.7248)
Hg (0.7348, 0.0000, 0.2212)
Hg (0.7652, 0.5000, 0.7212)
Se (0.0543, 0.5000, 0.8682)
Na (0.3350, 0.5000, 0.5034)
Na (0.1650, 0.0000, 0.0034)
Na (0.8350, 0.5000, 0.9966)
Se (0.9381, 0.5000, 0.6044)
Hg (0.2348, 0.0000, 0.2788)
Na (0.6650, 0.0000, 0.4966)
Se (0.7378, 0.0000, 0.8530)
Se (0.9457, 0.0000, 0.1318)
Se (0.2622, 0.5000, 0.1470)
Se (0.0619, 0.0000, 0.3956)
Se (0.4457, 0.0000, 0.3682)
Lu (0.9779, 0.5000, 0.2752)
Se (0.5543, 0.5000, 0.6318)
Se (0.5619, 0.0000, 0.1044)
Hg (0.2652, 0.5000, 0.7788)
Se (0.2378, 0.0000, 0.6470)

Summary:
volume	163	Å³/f.u.
relative energy among the computed polymorphs	7	meV/atom
density	6.48	g cm⁻³
spin magnetization	0.001	μB per atom
VASP energy	-3.844	eV per atom


Entry 2:
Below is a relaxed NaLuHgSe3 crystal, with properties calculated at the PBE level.

Lattice parameters (Å, degrees): 8.2092 4.2130 17.2261 90.00 90.00 90.00
Element x y z (fractional)
Se (0.3776, 0.7500, 0.9398)
Lu (0.7745, 0.2500, 0.4642)
Hg (0.0605, 0.7500, 0.8341)
Se (0.7815, 0.2500, 0.2972)
Lu (0.2745, 0.2500, 0.0358)
Se (0.8776, 0.7500, 0.5602)
Se (0.5089, 0.7500, 0.4287)
Lu (0.2255, 0.7500, 0.5358)
Hg (0.9395, 0.2500, 0.1659)
Se (0.4911, 0.2500, 0.5713)
Na (0.0679, 0.7500, 0.3070)
Na (0.5679, 0.7500, 0.1930)
Na (0.4321, 0.2500, 0.8070)
Hg (0.5605, 0.7500, 0.6659)
Lu (0.7255, 0.7500, 0.9642)
Se (0.2815, 0.2500, 0.2028)
Se (0.1224, 0.2500, 0.4398)
Na (0.9321, 0.2500, 0.6930)
Se (0.2185, 0.7500, 0.7028)
Se (0.6224, 0.2500, 0.0602)
Se (0.9911, 0.2500, 0.9287)
Hg (0.4395, 0.2500, 0.3341)
Se (0.0089, 0.7500, 0.0713)
Se (0.7185, 0.7500, 0.7972)

Summary:
volume	149	Å³/f.u.
relative energy among the computed polymorphs	72	meV/atom
density	7.08	g cm⁻³
spin magnetization	0.000	μB per atom
VASP energy	-3.778	eV per atom


Entry 3:
Below is a relaxed NaLuHgSe3 crystal, with properties calculated at the PBE level.

Lattice parameters (Å, degrees): 7.2339 7.2339 11.0200 90.00 90.00 32.98
Element x y z (fractional)
Lu (0.0000, 0.0000, 0.0000)
Se (0.6379, 0.6379, 0.5451)
Hg (0.5442, 0.5442, 0.7500)
Hg (0.4558, 0.4558, 0.2500)
Na (0.7531, 0.7531, 0.2500)
Se (0.6379, 0.6379, 0.9549)
Se (0.3621, 0.3621, 0.4549)
Se (0.0852, 0.0852, 0.2500)
Lu (0.0000, 0.0000, 0.5000)
Na (0.2469, 0.2469, 0.7500)
Se (0.3621, 0.3621, 0.0451)
Se (0.9148, 0.9148, 0.7500)

Summary:
volume	157	Å³/f.u.
relative energy among the computed polymorphs	10	meV/atom
density	6.72	g cm⁻³
spin magnetization	0.001	μB per atom
VASP energy	-3.841	eV per atom


Entry 4:
Below is a relaxed NaLuHgTe3 crystal, with properties calculated at the PBE level.

Lattice parameters (Å, degrees): 11.6895 4.3453 14.8587 90.00 90.00 90.00
Element x y z (fractional)
Te (0.4366, 0.5000, 0.1043)
Te (0.5634, 0.0000, 0.8957)
Hg (0.2436, 0.5000, 0.2146)
Te (0.9647, 0.0000, 0.8832)
Te (0.2638, 0.5000, 0.8410)
Te (0.7362, 0.0000, 0.1590)
Te (0.5353, 0.5000, 0.3832)
Hg (0.2564, 0.0000, 0.7146)
Lu (0.5120, 0.5000, 0.7572)
Lu (0.4880, 0.0000, 0.2428)
Te (0.4647, 0.0000, 0.6168)
Hg (0.7436, 0.5000, 0.2854)
Na (0.7140, 0.0000, 0.4845)
Hg (0.7564, 0.0000, 0.7854)
Te (0.0353, 0.5000, 0.1168)
Na (0.2860, 0.5000, 0.5155)
Na (0.7860, 0.5000, 0.9845)
Te (0.7638, 0.5000, 0.6590)
Na (0.2140, 0.0000, 0.0155)
Te (0.9366, 0.5000, 0.3957)
Lu (0.0120, 0.5000, 0.7428)
Lu (0.9880, 0.0000, 0.2572)
Te (0.2362, 0.0000, 0.3410)
Te (0.0634, 0.0000, 0.6043)

Summary:
volume	189	Å³/f.u.
density	6.88	g cm⁻³
spin magnetization	0.000	μB per atom
VASP energy	-3.414	eV per atom


Entry 5:
Below is a relaxed NaLuHgTe3 crystal, with properties calculated at the PBE level.

Lattice parameters (Å, degrees): 4.3510 7.7591 11.6503 90.00 90.00 73.72
Element x y z (fractional)
Na (0.7658, 0.4683, 0.7500)
Hg (0.5381, 0.9238, 0.2500)
Lu (0.0000, 0.0000, 0.0000)
Te (0.6400, 0.7200, 0.0485)
Te (0.3600, 0.2800, 0.9515)
Hg (0.4619, 0.0762, 0.7500)
Te (0.3600, 0.2800, 0.5485)
Lu (0.0000, 0.0000, 0.5000)
Te (0.6400, 0.7200, 0.4515)
Te (0.9106, 0.1789, 0.2500)
Te (0.0894, 0.8211, 0.7500)
Na (0.2342, 0.5317, 0.2500)

Summary:
volume	189	Å³/f.u.
density	6.87	g cm⁻³
spin magnetization	0.000	μB per atom
VASP energy	-3.415	eV per atom


Entry 6:
Below is a relaxed Lu2NbHg crystal, with properties calculated at the PBE level.

Lattice parameters (Å, degrees): 5.0229 5.0229 5.0229 60.00 60.00 60.00
Site moments in Bohr magnetons follow the coordinates.
Element x y z (fractional)
Hg (0.2500, 0.2500, 0.2500)  -0.01
Lu (0.0000, 0.0000, 0.0000)  -0.01
Nb (0.5000, 0.5000, 0.5000)  0.53
Lu (0.7500, 0.7500, 0.7500)  0.18

Summary:
volume	90	Å³/f.u.
density	11.92	g cm⁻³
spin magnetization	0.201	μB per atom
VASP energy	-4.618	eV per atom
energy of formation from the pure elements	0.242	eV per atom


Entry 7:
Below is a relaxed LuNbHg2 crystal, with properties calculated at the PBE level.

Lattice parameters (Å, degrees): 4.9884 4.9884 4.9884 60.00 60.00 60.00
Site moments in Bohr magnetons follow the coordinates.
Element x y z (fractional)
Nb (0.5000, 0.5000, 0.5000)  1.97
Hg (0.0000, 0.0000, 0.0000)  0.00
Hg (0.7500, 0.7500, 0.7500)  0.02
Lu (0.2500, 0.2500, 0.2500)  0.49

Summary:
volume	88	Å³/f.u.
density	12.66	g cm⁻³
spin magnetization	0.724	μB per atom
VASP energy	-3.451	eV per atom
energy of formation from the pure elements	0.352	eV per atom


Entry 8:
Below is a relaxed NdLuHg crystal, with properties calculated at the PBE level.

Lattice parameters (Å, degrees): 5.1280 5.1280 5.1280 60.00 60.00 60.00
Element x y z (fractional)
Lu (0.2500, 0.2500, 0.2500)
Hg (0.0000, 0.0000, 0.0000)
Nd (0.7500, 0.7500, 0.7500)

Summary:
volume	95	Å³/f.u.
relative energy among the computed polymorphs	0	meV/atom
density	9.05	g cm⁻³
spin magnetization	0.003	μB per atom
VASP energy	-3.295	eV per atom
energy of formation from the pure elements	-0.101	eV per atom


Entry 9:
Below is a relaxed LuNiHgPb crystal, with properties calculated at the PBE level.

Lattice parameters (Å, degrees): 4.9094 4.9094 4.9094 60.00 60.00 60.00
Element x y z (fractional)
Pb (0.0000, 0.0000, 0.0000)
Hg (0.5000, 0.5000, 0.5000)
Ni (0.7500, 0.7500, 0.7500)
Lu (0.2500, 0.2500, 0.2500)

Summary:
volume	84	Å³/f.u.
relative energy among the computed polymorphs	25	meV/atom
density	12.73	g cm⁻³
spin magnetization	0.001	μB per atom
VASP energy	-3.595	eV per atom


Entry 10:
Below is a relaxed LuNiHgPb crystal, with properties calculated at the PBE level.

Lattice parameters (Å, degrees): 4.9621 4.9621 4.9621 60.00 60.00 60.00
Element x y z (fractional)
Ni (0.7500, 0.7500, 0.7500)
Lu (0.5000, 0.5000, 0.5000)
Pb (0.0000, 0.0000, 0.0000)
Hg (0.2500, 0.2500, 0.2500)

Summary:
volume	86	Å³/f.u.
relative energy among the computed polymorphs	0	meV/atom
density	12.33	g cm⁻³
spin magnetization	0.001	μB per atom
VASP energy	-3.620	eV per atom


Entry 11:
Below is a relaxed LuNiHgSb crystal, with properties calculated at the PBE level.

Lattice parameters (Å, degrees): 4.9050 4.9050 4.9050 60.00 60.00 60.00
Element x y z (fractional)
Hg (0.2500, 0.2500, 0.2500)
Sb (0.0000, 0.0000, 0.0000)
Lu (0.5000, 0.5000, 0.5000)
Ni (0.7500, 0.7500, 0.7500)

Summary:
volume	83	Å³/f.u.
relative energy among the computed polymorphs	29	meV/atom
density	11.06	g cm⁻³
spin magnetization	0.000	μB per atom
VASP energy	-3.813	eV per atom


Entry 12:
Below is a relaxed LuNiHgSb crystal, with properties calculated at the PBE level.

Lattice parameters (Å, degrees): 4.8943 4.8943 4.8943 60.00 60.00 60.00
Element x y z (fractional)
Lu (0.2500, 0.2500, 0.2500)
Sb (0.0000, 0.0000, 0.0000)
Hg (0.5000, 0.5000, 0.5000)
Ni (0.7500, 0.7500, 0.7500)

Summary:
volume	83	Å³/f.u.
relative energy among the computed polymorphs	0	meV/atom
density	11.14	g cm⁻³
spin magnetization	0.000	μB per atom
VASP energy	-3.841	eV per atom